[1]
A plane-wave DFT calculation with PBE-GGA was carried out for crystalline YFe2Br at its relaxed geometry.

Output
Uncorrected formation energy   0.38 eV/atom
DOS at the Fermi energy   4.303 states/eV/f.u.
Symmetry   I-4m2 (119)

Cell lengths 5.0379, 5.0379, 5.0379 Å; angles 128.25, 128.25, 76.22 degrees
Sites, in units of the cell vectors:
Y 0.0000 0.0000 0.0000
Fe 0.5000 0.5000 0.0000
Fe 0.7500 0.2500 0.5000
Br 0.2500 0.7500 0.5000


[2]
A plane-wave DFT calculation with PBE-GGA was carried out for crystalline Cs2Te3Se4 at its relaxed geometry.

Output
Uncorrected formation energy   -0.43 eV/atom
DOS at the Fermi energy   2.130 states/eV/f.u.
Symmetry   C2/c (15)

Cell lengths 8.6969, 8.6969, 10.6121 Å; angles 91.57, 91.57, 106.31 degrees
Sites, in units of the cell vectors:
Cs 0.0981 0.3957 0.2491
Cs 0.3957 0.0981 0.7491
Cs 0.6043 0.9019 0.2509
Cs 0.9019 0.6043 0.7509
Te 0.0704 0.9172 0.3851
Te 0.0828 0.9296 0.1149
Te 0.4122 0.5878 0.7500
Te 0.5878 0.4122 0.2500
Te 0.9172 0.0704 0.8851
Te 0.9296 0.0828 0.6149
Se 0.1320 0.3635 0.6007
Se 0.2806 0.6779 0.9338
Se 0.3221 0.7194 0.5662
Se 0.3635 0.1320 0.1007
Se 0.6365 0.8680 0.8993
Se 0.6779 0.2806 0.4338
Se 0.7194 0.3221 0.0662
Se 0.8680 0.6365 0.3993